Computed, not measured: a geometry-optimized Ta2OsSe structure at the PBE level of DFT.

Lattice parameters (Å, degrees): 4.9131 3.0789 4.9808 90.00 115.33 90.00
With the nearest neighbours (Å) after each atom.
Element x y z (fractional)
Ta1 0.0000 0.0000 0.0000  2 Se 2.65, 4 Ta 2.90, 4 Os 2.93
Ta2 0.5000 0.5000 0.0000  2 Os 2.65, 4 Ta 2.90, 4 Se 2.93
Os1 0.0000 0.5000 0.5000  6 Ta 2.65-2.93, 4 Se 2.90
Se1 0.5000 0.0000 0.5000  6 Ta 2.65-2.93, 4 Os 2.90

**E_form (uncorrected)**: 0.250 eV per atom
**Space group**: No. 10

=====

Computed, not measured: a geometry-optimized LaSmTmZr structure at the PBE level of DFT.

Lattice parameters (Å, degrees): 7.8267 7.8267 7.8267 90.00 90.00 90.00
With the nearest neighbours (Å) after each atom.
Element x y z (fractional)
La1 0.0000 0.0000 0.0000  4 Zr 3.39, 4 Tm 3.39
La2 0.0000 0.5000 0.5000  4 Zr 3.39, 4 Tm 3.39
La3 0.5000 0.0000 0.5000  4 Zr 3.39, 4 Tm 3.39
La4 0.5000 0.5000 0.0000  4 Zr 3.39, 4 Tm 3.39
Sm1 0.0000 0.0000 0.5000  4 Tm 3.39, 4 Zr 3.39
Sm2 0.0000 0.5000 0.0000  4 Tm 3.39, 4 Zr 3.39
Sm3 0.5000 0.0000 0.0000  4 Tm 3.39, 4 Zr 3.39
Sm4 0.5000 0.5000 0.5000  4 Tm 3.39, 4 Zr 3.39
Tm1 0.2500 0.2500 0.2500  4 La 3.39, 4 Sm 3.39
Tm2 0.2500 0.7500 0.7500  4 La 3.39, 4 Sm 3.39
Tm3 0.7500 0.2500 0.7500  4 La 3.39, 4 Sm 3.39
Tm4 0.7500 0.7500 0.2500  4 La 3.39, 4 Sm 3.39
Zr1 0.2500 0.2500 0.7500  4 La 3.39, 4 Sm 3.39
Zr2 0.2500 0.7500 0.2500  4 La 3.39, 4 Sm 3.39
Zr3 0.7500 0.2500 0.2500  4 La 3.39, 4 Sm 3.39
Zr4 0.7500 0.7500 0.7500  4 La 3.39, 4 Sm 3.39

**Calculated formation energy**: 0.20 eV/atom
**Space group**: No. 216

=====

Computed, not measured: a geometry-optimized Mn3CdPt4 structure at the PBE level of DFT.

Lattice parameters (Å, degrees): 9.2008 5.8693 4.6695 90.00 90.00 90.00
With the nearest neighbours (Å) after each atom.
Element x y z (fractional)
Mn1 0.0000 0.0000 0.0000  8 Pt 2.73, 2 Cd 2.93, 2 Mn 3.00
Mn2 0.2500 0.0000 0.4134  8 Pt 2.71-2.75, 4 Mn 2.93-3.00
Mn3 0.2500 0.5000 0.4202  8 Pt 2.74-2.83, 2 Mn 2.93, 2 Cd 3.02
Mn4 0.5000 0.0000 0.0000  8 Pt 2.73, 2 Cd 2.93, 2 Mn 3.00
Mn5 0.7500 0.0000 0.5866  8 Pt 2.71-2.75, 4 Mn 2.93-3.00
Mn6 0.7500 0.5000 0.5798  8 Pt 2.74-2.83, 2 Mn 2.93, 2 Cd 3.02
Cd1 0.0000 0.5000 0.0000  8 Pt 2.79, 4 Mn 2.93-3.02
Cd2 0.5000 0.5000 0.0000  8 Pt 2.79, 4 Mn 2.93-3.02
Pt1 0.0000 0.2407 0.5000  6 Mn 2.73-2.78, 2 Cd 2.79, 4 Pt 2.83-3.04
Pt2 0.0000 0.7593 0.5000  6 Mn 2.73-2.78, 2 Cd 2.79, 4 Pt 2.83-3.04
Pt3 0.2500 0.2414 0.9092  6 Mn 2.71-2.83, 2 Cd 2.79, 4 Pt 2.83-3.04
Pt4 0.2500 0.7586 0.9092  6 Mn 2.71-2.83, 2 Cd 2.79, 4 Pt 2.83-3.04
Pt5 0.5000 0.2407 0.5000  6 Mn 2.73-2.78, 2 Cd 2.79, 4 Pt 2.83-3.04
Pt6 0.5000 0.7593 0.5000  6 Mn 2.73-2.78, 2 Cd 2.79, 4 Pt 2.83-3.04
Pt7 0.7500 0.2414 0.0908  6 Mn 2.71-2.83, 2 Cd 2.79, 4 Pt 2.83-3.04
Pt8 0.7500 0.7586 0.0908  6 Mn 2.71-2.83, 2 Cd 2.79, 4 Pt 2.83-3.04

**Calculated formation energy**: -0.32 eV/atom
**Space group**: No. 51

=====

Computed, not measured: a geometry-optimized Ti6CoBi3 structure at the PBE level of DFT.

Lattice parameters (Å, degrees): 8.8312 4.5329 10.6774 90.00 113.19 90.00
With the nearest neighbours (Å) after each atom.
Element x y z (fractional)
Ti1 0.0271 0.2500 0.4259  6 Bi 2.81-3.02, 2 Ti 2.91
Ti2 0.2200 0.7500 0.1423  1 Co 2.23
Ti3 0.2622 0.2500 0.9972  4 Ti 2.68-2.94, 1 Bi 2.88, 2 Co 2.94
Ti4 0.3589 0.2500 0.2939  6 Ti 2.77-3.11, 1 Bi 2.93
Ti5 0.4073 0.7500 0.8857  3 Co 2.54-2.56, 1 Ti 2.68
Ti6 0.4501 0.2500 0.6060  1 Co 2.53, 2 Ti 2.78
Ti7 0.5499 0.7500 0.3940  1 Co 2.53, 2 Ti 2.78
Ti8 0.5927 0.2500 0.1143  3 Co 2.54-2.56, 1 Ti 2.68
Ti9 0.6411 0.7500 0.7061  6 Ti 2.77-3.11, 1 Bi 2.93
Ti10 0.7378 0.7500 0.0028  4 Ti 2.68-2.94, 1 Bi 2.88, 2 Co 2.94
Ti11 0.7800 0.2500 0.8577  1 Co 2.23
Ti12 0.9729 0.7500 0.5741  6 Bi 2.81-3.02, 2 Ti 2.91
Co1 0.4718 0.7500 0.1395  1 Ti 2.23
Co2 0.5282 0.2500 0.8605  1 Ti 2.23
Bi1 0.0006 0.2500 0.1406  7 Ti 2.88-3.16
Bi2 0.1966 0.2500 0.7107  1 Co 2.73, 5 Ti 2.81-2.98
Bi3 0.2638 0.7500 0.4546  7 Ti 2.84-3.15
Bi4 0.7362 0.2500 0.5454  7 Ti 2.84-3.15
Bi5 0.8034 0.7500 0.2893  1 Co 2.73, 5 Ti 2.81-2.98
Bi6 0.9994 0.7500 0.8594  7 Ti 2.88-3.16

**Relative energy among the computed polymorphs**: 0 meV/atom
**Calculated formation energy**: -0.09 eV/atom
**Space group**: No. 11

=====

Uncorrected energy (eV per cell)
-37.42 -87.47 -110.28 -134.12